## Na2Sr4Hg (PBE)

Data for a geometry-optimized Na2Sr4Hg structure.

```
7
Lattice="-3.098 3.098 9.502 3.098 -3.098 9.502 3.098 3.098 -9.502" Properties=species:S:1:pos:R:3 pbc="T T T"
Na 0.000 0.000 2.457
Na 0.000 0.000 16.547
Sr 3.098 0.000 0.000
Sr 0.000 0.000 6.227
Sr 0.000 3.098 0.000
Sr 0.000 0.000 12.777
Hg 0.000 0.000 9.502
```

Its total energy is -1.396 eV per atom. The value obtained for the density of states at the Fermi level is 7.555 states/eV/f.u. As for the symmetry: I4/mmm (139). For the energy of formation, the calculation gives -0.015 eV per atom. The mass density comes out at 2.7 g cm⁻³.

***

## Na3Sr2Hg4 (PBE)

Data for a geometry-optimized Na3Sr2Hg4 structure.

```
9
Lattice="4.720 -2.640 0.000 4.720 2.640 0.000 -0.577 0.000 10.892" Properties=species:S:1:pos:R:3 pbc="T T T"
Na 0.000 0.000 0.000
Na 2.980 0.000 4.646
Na 5.884 0.000 6.246
Sr 2.643 0.000 8.543
Sr 6.221 0.000 2.350
Hg -0.093 0.000 3.895
Hg 3.120 0.000 1.057
Hg 5.744 0.000 9.835
Hg 8.957 0.000 6.998
```

Its total energy is -1.271 eV per atom. The value obtained for the density of states at the Fermi level is 6.057 states/eV/f.u. As for the symmetry: C2/m (12). For the energy of formation, the calculation gives -0.323 eV per atom. The mass density comes out at 6.4 g cm⁻³.